# 1
Below is an optimized crystal structure of B2C, with properties calculated at the GGA-PBE level.

Cell and atoms, written as POSCAR:
```
B2C
1.0
2.362 0.000 0.000
0.000 2.475 0.000
0.000 0.000 14.042
B C
8 4
direct
0.000 0.000 0.000
0.000 0.000 0.283
0.000 0.000 0.660
0.000 0.500 0.568
0.000 0.500 0.907
0.500 0.000 0.380
0.500 0.000 0.758
0.500 0.500 0.472
0.000 0.500 0.210
0.500 0.000 0.082
0.500 0.500 0.145
0.500 0.500 0.829
```

Calculated values
Calculated formation energy: 423.6 meV/atom
Total DFT energy (no corrections): -7.10 eV per atom
Energy above the lowest structure with this stoichiometry: 238 meV per atom
Magnetic moment: 0.0 μB/f.u.
Symmetry: Pmm2, No. 25

---

# 2
Below is an optimized crystal structure of BaAuSe2N, with properties calculated at the GGA-PBE level.

Cell and atoms, written as POSCAR:
```
BaAuSe2N
1.0
5.453 0.000 0.000
0.000 5.453 0.000
0.000 0.000 4.089
Ba Au Se N
1 1 2 1
direct
0.000 0.000 0.000
0.500 0.500 0.500
0.000 0.500 0.500
0.500 0.000 0.500
0.500 0.500 0.000
```

Calculated values
Formation energy without anion corrections: -0.038 eV/atom
Total DFT energy (no corrections): -4.14 eV per atom
Energy above the lowest structure with this stoichiometry: 0 meV per atom
Magnetic moment: 1.5 μB/f.u.
Symmetry: P4/mmm, No. 123

---

# 3
Below is an optimized crystal structure of AlCuSe2, with properties calculated at the GGA-PBE level.

Cell and atoms, written as POSCAR:
```
AlCuSe2
1.0
3.227 0.000 0.000
0.000 3.285 0.000
0.000 0.000 6.631
Al Cu Se
1 1 2
direct
0.000 0.000 0.000
0.000 0.000 0.500
0.500 0.500 0.248
0.500 0.500 0.752
```

Calculated values
Formation energy without anion corrections: 0.136 eV/atom
Total DFT energy (no corrections): -3.57 eV per atom
Magnetic moment: 0.0 μB/f.u.
Symmetry: Pmmm, No. 47

---

# 4
Below is an optimized crystal structure of PmTh2FeN5, with properties calculated at the GGA-PBE level.

Cell and atoms, written as POSCAR:
```
PmTh2FeN5
1.0
-3.370 3.370 5.651
3.370 -3.370 5.651
3.370 3.370 -5.651
Pm Th Fe N
2 4 2 10
direct
0.250 0.250 0.000
0.750 0.750 0.000
0.176 0.676 0.852
0.324 0.176 0.500
0.676 0.824 0.500
0.824 0.324 0.148
0.250 0.750 0.500
0.750 0.250 0.500
0.000 0.000 0.000
0.002 0.783 0.500
0.217 0.717 0.218
0.283 0.502 0.500
0.498 0.998 0.782
0.500 0.500 0.000
0.502 0.002 0.218
0.717 0.498 0.500
0.783 0.283 0.782
0.998 0.217 0.500
```

Calculated values
Formation energy without anion corrections: -1.096 eV/atom
Total DFT energy (no corrections): -8.84 eV per atom
Magnetic moment: 2.0 μB/f.u.
Symmetry: I4/mcm, No. 140

---

- Among the records above, which one has the lowest total DFT energy (no corrections)?
  PmTh2FeN5

---

- The highest total DFT energy (no corrections) belongs to which entry?
  AlCuSe2

---

- The highest total DFT energy (no corrections) belongs to which entry?
  AlCuSe2